Compound: PmSi3Mo
Source: Alexandria
Functional: PBE-GGA
Structure: relaxed

abc: 4.1886 4.1886 6.0824
angles: 110.14 110.14 90.00
Atoms (fractional coordinates):
1 Pm 0.9894 0.9894 0.9789
2 Si 0.2671 0.7671 0.5343
3 Si 0.7671 0.2671 0.5343
4 Si 0.4169 0.4169 0.8337
5 Mo 0.6497 0.6497 0.2994

Computed properties:
M_tot	0.00	μB/f.u.
E_form (uncorrected)	-0.308	eV/atom
ρ	5.8	g/cm3